DFT (GGA-PBE) results for a relaxed structure of LiYAsS2.

Structure (POSCAR):
```
LiYAsS2
1.0
5.076 0.000 0.000
0.000 5.076 0.000
0.000 0.000 5.252
Li Y As S
1 1 1 2
Cartesian
0.000 0.000 0.000
2.538 2.538 0.000
2.538 2.538 2.626
0.000 2.538 2.626
2.538 0.000 2.626
```

Output
Calculated total energy ... -4.259 eV/atom
Calculated density ... 2.9 g cm⁻³

---

DFT (GGA-PBE) results for a relaxed structure of Hf3AsPd.

Structure (POSCAR):
```
Hf3AsPd
1.0
4.881 0.000 0.000
0.000 4.881 0.000
0.000 0.000 4.881
Hf As Pd
3 1 1
Cartesian
0.000 0.000 2.441
0.000 2.441 0.000
2.441 0.000 0.000
0.000 0.000 0.000
2.441 2.441 2.441
```

Output
Energy of formation from the pure elements ... 4.5 kcal/mol of atoms
Energy above the most stable polymorph in this dataset ... 0.0000 eV per atom
Calculated density ... 10.2 g cm⁻³